# 1
Density functional theory data (PBE-GGA) for a geometry-optimized K2PmTcO6 structure.

Cell: 5.9426 6.2953 6.2953 Å, 120.00 90.00 90.00°
Fractional coordinates of all 10 atoms:
K1 0.0852 0.3333 0.6667
K2 0.9148 0.6667 0.3333
Pm1 0.5000 0.0000 0.0000
Tc1 0.0000 0.0000 0.0000
O1 0.8036 0.1392 0.2784
O2 0.8036 0.1392 0.8608
O3 0.8036 0.7216 0.8608
O4 0.1964 0.8608 0.1392
O5 0.1964 0.2784 0.1392
O6 0.1964 0.8608 0.7216

Computed properties:
**Size of the total moment**: 0.00 μB per formula unit
**Energy relative to the elements, uncorrected**: -1.8363 eV/atom
**Uncorrected energy**: -6.54 eV per atom

=====

# 2
Density functional theory data (PBE-GGA) for a geometry-optimized ErThScAl structure.

Cell: 5.2598 5.2598 5.2598 Å, 60.00 60.00 60.00°
Fractional coordinates of all 4 atoms:
Sc1 0.0000 0.0000 0.0000
Al1 0.5000 0.5000 0.5000
Th1 0.2500 0.2500 0.2500
Er1 0.7500 0.7500 0.7500

Computed properties:
**DOS(E_F)**: 1.78 states/eV/atom
**Size of the total moment**: 0.00 μB per formula unit
**Uncorrected energy**: -5.59 eV per atom

=====

# 3
Density functional theory data (PBE-GGA) for a geometry-optimized Tl8Te5 structure.

Cell: 9.5377 9.5377 9.5717 Å, 126.54 86.48 117.66°
Fractional coordinates of all 13 atoms:
Tl1 0.3478 0.9482 0.2960
Tl2 0.6522 0.0518 0.7040
Tl3 0.8661 0.3524 0.2184
Tl4 0.1339 0.6476 0.7816
Tl5 0.9216 0.9915 0.3192
Tl6 0.6723 0.6023 0.6808
Tl7 0.3277 0.3977 0.3192
Tl8 0.0784 0.0085 0.6808
Te1 0.0000 0.0000 0.0000
Te2 0.7520 0.2520 0.5000
Te3 0.2480 0.7480 0.5000
Te4 0.7109 0.6732 0.3841
Te5 0.2891 0.3268 0.6159

Computed properties:
**DOS(E_F)**: 0.17 states/eV/atom
**Size of the total moment**: 0.00 μB per formula unit
**Energy relative to the elements, uncorrected**: -0.2261 eV/atom
**Uncorrected energy**: -2.89 eV per atom

=====

# 4
Density functional theory data (PBE-GGA) for a geometry-optimized KPmPdF6 structure.

Cell: 8.4984 7.9994 8.2584 Å, 118.97 120.97 90.00°
Last column: magnetic moment on the atom in μB.
Fractional coordinates of all 18 atoms:
K1 0.7766 0.5266 0.5533  0.00
K2 0.2234 0.4734 0.4467  0.00
Pm1 0.5000 0.0000 0.5000  0.01
Pm2 0.0000 0.0000 0.5000  0.01
Pd1 0.5000 0.5000 0.0000  1.50
Pd2 0.5000 0.0000 0.0000  1.50
F1 0.4355 0.6855 0.8709  0.15
F2 0.8229 0.0729 0.6458  0.00
F3 0.8162 0.1038 0.2736  0.07
F4 0.4574 0.6699 0.2736  0.07
F5 0.4574 0.1038 0.2736  0.07
F6 0.8162 0.6699 0.2736  0.07
F7 0.5645 0.3145 0.1291  0.15
F8 0.1771 0.9271 0.3542  0.00
F9 0.1838 0.8962 0.7264  0.07
F10 0.5426 0.3301 0.7264  0.07
F11 0.5426 0.8962 0.7264  0.07
F12 0.1838 0.3301 0.7264  0.07

Computed properties:
**DOS(E_F)**: 0.02 states/eV/atom
**Size of the total moment**: 2.01 μB per formula unit
**Energy relative to the elements, uncorrected**: -2.7262 eV/atom
**Uncorrected energy**: -5.20 eV per atom

=====

# 5
Density functional theory data (PBE-GGA) for a geometry-optimized AcLa2Y8 structure.

Cell: 5.6113 8.3422 9.6191 Å, 115.70 106.96 90.00°
Fractional coordinates of all 11 atoms:
Ac1 0.5000 0.0000 0.0000
La1 0.1996 0.6995 0.3991
La2 0.8004 0.3005 0.6009
Y1 0.6423 0.8468 0.2847
Y2 0.3577 0.5622 0.7153
Y3 0.1603 0.1603 0.3207
Y4 0.0000 0.2949 0.0000
Y5 0.8397 0.8397 0.6793
Y6 0.6423 0.4378 0.2847
Y7 0.3577 0.1532 0.7153
Y8 0.0000 0.7051 0.0000

Computed properties:
**DOS(E_F)**: 1.47 states/eV/atom
**Size of the total moment**: 0.00 μB per formula unit
**Uncorrected energy**: -5.84 eV per atom

=====

# 6
Density functional theory data (PBE-GGA) for a geometry-optimized ZnIn2Ag structure.

Cell: 3.1691 6.0817 6.1166 Å, 47.38 90.00 90.00°
Fractional coordinates of all 4 atoms:
Ag1 0.0000 0.0000 0.5000
In1 0.0000 0.0000 0.0000
In2 0.5000 0.5000 0.0000
Zn1 0.5000 0.5000 0.5000

Computed properties:
**DOS(E_F)**: 0.28 states/eV/atom
**Size of the total moment**: 0.00 μB per formula unit
**Uncorrected energy**: -2.33 eV per atom

=====

# 7
Density functional theory data (PBE-GGA) for a geometry-optimized YHo2Au6 structure.

Cell: 5.2824 5.2426 8.4728 Å, 71.98 80.99 59.58°
Fractional coordinates of all 9 atoms:
Y1 0.0000 0.0000 0.5000
Ho1 0.5000 0.8348 0.8304
Ho2 0.5000 0.1652 0.1696
Au1 0.1681 0.8349 0.1666
Au2 0.8319 0.4985 0.1666
Au3 0.8319 0.1651 0.8334
Au4 0.1681 0.5015 0.8334
Au5 0.3282 0.3289 0.5000
Au6 0.6718 0.6711 0.5000

Computed properties:
**DOS(E_F)**: 0.52 states/eV/atom
**Size of the total moment**: 0.00 μB per formula unit
**Uncorrected energy**: -4.72 eV per atom

=====

# 8
Density functional theory data (PBE-GGA) for a geometry-optimized K2Pt2Rh structure.

Cell: 6.6128 6.6128 5.4162 Å, 90.00 90.00 90.00°
Last column: magnetic moment on the atom in μB.
Fractional coordinates of all 10 atoms:
K1 0.1789 0.6789 0.5000  -0.01
K2 0.6789 0.8211 0.5000  -0.01
K3 0.8211 0.3211 0.5000  -0.01
K4 0.3211 0.1789 0.5000  -0.01
Rh1 0.0000 0.0000 0.0000  0.63
Rh2 0.5000 0.5000 0.0000  0.63
Pt1 0.3647 0.8647 0.0000  0.19
Pt2 0.8647 0.6353 0.0000  0.23
Pt3 0.6353 0.1353 0.0000  0.19
Pt4 0.1353 0.3647 0.0000  0.23

Computed properties:
**DOS(E_F)**: 0.78 states/eV/atom
**Size of the total moment**: 1.01 μB per formula unit
**Uncorrected energy**: -4.18 eV per atom